1.
Material: HfAg2S3
Method: DFT, PBE-GGA
State: optimized geometry

Geometry as POSCAR:
```
HfAg2S3
1.0
-3.545 -5.683 -1.945
-0.391 -2.023 6.622
-5.034 4.020 -2.569
S Hf Ag
6 2 4
direct
0.937 0.511 0.830
0.437 0.489 0.170
0.392 0.842 0.842
0.437 0.170 0.489
0.937 0.830 0.511
0.892 0.158 0.158
0.038 0.841 0.841
0.538 0.159 0.159
0.077 0.168 0.498
0.577 0.502 0.832
0.077 0.498 0.168
0.577 0.832 0.502
```

Computed properties:
For the calculated density, the calculation gives 5.5 Mg/m³. For the total energy, the calculation gives -5.387 eV/atom. Its energy above the most stable polymorph in this dataset is 69.8 meV/atom.

=====

2.
Material: AgGe2Se2
Method: DFT, PBE-GGA
State: optimized geometry

Geometry as POSCAR:
```
AgGe2Se2
1.0
-4.319 -0.604 -2.997
2.687 -3.223 -3.223
-1.922 -5.067 -0.880
Ag Se Ge
1 2 2
direct
0.000 0.000 0.000
0.750 0.250 0.500
0.250 0.750 0.500
0.665 0.665 0.671
0.335 0.335 0.329
```

Computed properties:
For the calculated density, the calculation gives 6.1 Mg/m³. For the total energy, the calculation gives -3.737 eV/atom. Its energy above the most stable polymorph in this dataset is 0.0 meV/atom.